Na4WO4: relaxed, GGA+U.

Results
Its space-group type is C2/m. Its crystal system is monoclinic. As for the density of states at the Fermi level: 1.2 states/eV per cell. The excess energy over the best structure of this formula in the dataset comes out at 63 meV per atom. The density is 4.32 g/cm3.

The structure in POSCAR format:
```
Na4WO4
1.0
-1.3245 2.9649 0.1195
-4.4728 -0.0640 -3.8078
-5.9109 -1.0353 4.3499
O W Na
4 1 4
direct
0.3327 0.0875 0.2471
0.9214 0.2363 0.9208
0.6673 0.9125 0.7529
0.0786 0.7637 0.0792
0.5000 0.0000 0.0000
0.1125 0.1756 0.5994
0.3029 0.5889 0.8053
0.8875 0.8244 0.4006
0.6971 0.4111 0.1947
```